[1]
{
  "formula": "ErAlS",
  "functional": "PBE-GGA",
  "state": "optimized geometry",
  "raw_formation_energy_ev_per_atom": -1.047,
  "total_energy_ev_per_atom": -5.191,
  "crystal_system": "trigonal",
  "lattice": [[4.384, 0.000, 0.000], [2.192, 3.796, 0.000], [2.192, 1.265, 8.330]],
  "species": ["Er", "Er", "Al", "Al", "S", "S"],
  "frac_coords": [[0.592, 0.592, 0.223], [0.408, 0.408, 0.777], [0.836, 0.836, 0.492], [0.164, 0.164, 0.508], [0.293, 0.293, 0.121], [0.707, 0.707, 0.879]]
}

=====

[2]
{
  "formula": "TaAl2Se",
  "functional": "PBE-GGA",
  "state": "optimized geometry",
  "raw_formation_energy_ev_per_atom": -0.022,
  "total_energy_ev_per_atom": -5.728,
  "crystal_system": "orthorhombic",
  "lattice": [[5.379, -0.005, -0.002], [2.239, 4.891, 0.002], [-3.173, -3.435, 2.658]],
  "species": ["Al", "Al", "Ta", "Se"],
  "frac_coords": [[0.001, 0.001, 0.000], [0.745, 0.245, 0.500], [0.264, 0.764, 0.500], [0.491, 0.491, 0.000]]
}

=====

[3]
{
  "formula": "PrInCuPd",
  "functional": "PBE-GGA",
  "state": "optimized geometry",
  "e_form_ev_per_atom": -0.459,
  "total_energy_ev_per_atom": -4.661,
  "crystal_system": "cubic",
  "lattice": [[4.902, 0.000, 0.000], [2.451, 4.245, 0.000], [2.451, 1.415, 4.002]],
  "species": ["Pd", "Pr", "In", "Cu"],
  "frac_coords": [[0.750, 0.750, 0.750], [0.000, 0.000, 0.000], [0.500, 0.500, 0.500], [0.250, 0.250, 0.250]]
}

=====

[4]
{
  "formula": "MnTeOs",
  "functional": "PBE-GGA",
  "state": "optimized geometry",
  "raw_formation_energy_ev_per_atom": 0.569,
  "total_energy_ev_per_atom": -7.278,
  "crystal_system": "hexagonal",
  "polymorph_energy_kj_per_mol_atoms": 31.7,
  "lattice": [[4.425, 0.000, 0.000], [-2.212, 3.832, 0.000], [0.000, 0.000, 3.107]],
  "species": ["Os", "Mn", "Te"],
  "frac_coords": [[0.667, 0.333, 0.500], [0.000, 0.000, 0.000], [0.333, 0.667, 0.500]]
}

=====

[5]
{
  "formula": "SrCaCuAu",
  "functional": "PBE-GGA",
  "state": "optimized geometry",
  "e_form_ev_per_atom": -0.456,
  "total_energy_ev_per_atom": -3.221,
  "crystal_system": "orthorhombic",
  "lattice": [[-2.962, 2.951, 1.213], [-3.259, -2.919, -0.856], [1.775, -3.358, 4.693]],
  "species": ["Ca", "Au", "Cu", "Sr"],
  "frac_coords": [[0.861, 0.500, 0.723], [0.564, 0.500, 0.127], [0.431, 0.000, 0.862], [0.144, 0.000, 0.288]]
}

=====

[6]
{
  "formula": "KPa2S6",
  "functional": "PBE-GGA",
  "state": "optimized geometry",
  "raw_formation_energy_ev_per_atom": -1.293,
  "total_energy_ev_per_atom": -6.277,
  "crystal_system": "monoclinic",
  "polymorph_energy_kj_per_mol_atoms": 0.0,
  "lattice": [[5.474, 0.000, 0.000], [2.737, 6.613, -0.891], [2.737, 1.666, 7.543]],
  "species": ["S", "S", "S", "S", "S", "S", "Pa", "Pa", "K"],
  "frac_coords": [[0.376, 0.655, 0.593], [0.954, 0.891, 0.200], [0.624, 0.345, 0.407], [0.293, 0.348, 0.066], [0.707, 0.652, 0.934], [0.046, 0.109, 0.800], [0.183, 0.728, 0.907], [0.817, 0.272, 0.093], [0.000, 0.500, 0.500]]
}

=====

[7]
{
  "formula": "CsCeBr2Cl",
  "functional": "PBE-GGA",
  "state": "optimized geometry",
  "raw_formation_energy_ev_per_atom": -1.709,
  "total_energy_ev_per_atom": -4.105,
  "crystal_system": "tetragonal",
  "lattice": [[-6.222, -3.842, -4.193], [-1.282, -5.108, 6.583], [0.055, 8.142, 0.931]],
  "species": ["Cs", "Cs", "Br", "Br", "Br", "Br", "Cl", "Cl", "Ce", "Ce"],
  "frac_coords": [[0.248, 0.748, 0.497], [0.748, 0.248, 0.497], [0.751, 0.750, 0.001], [0.250, 0.251, 0.001], [0.750, 0.250, 0.001], [0.251, 0.751, 0.001], [0.250, 0.250, 0.501], [0.750, 0.750, 0.501], [0.500, 0.500, 0.001], [0.000, 0.000, 0.001]]
}

=====

[8]
{
  "formula": "LaRe3Br",
  "functional": "PBE-GGA",
  "state": "optimized geometry",
  "raw_formation_energy_ev_per_atom": 1.708,
  "total_energy_ev_per_atom": -7.081,
  "crystal_system": "cubic",
  "polymorph_energy_kj_per_mol_atoms": 0.0,
  "lattice": [[4.693, 0.000, 0.000], [0.000, 4.693, 0.000], [0.000, 0.000, 4.693]],
  "species": ["La", "Re", "Re", "Re", "Br"],
  "frac_coords": [[0.500, 0.500, 0.500], [0.000, 0.000, 0.500], [0.000, 0.500, 0.000], [0.500, 0.000, 0.000], [0.000, 0.000, 0.000]]
}

=====

[9]
{
  "formula": "Mg3ZnC",
  "functional": "PBE-GGA",
  "state": "optimized geometry",
  "e_form_ev_per_atom": 1.390,
  "total_energy_ev_per_atom": -1.666,
  "crystal_system": "cubic",
  "polymorph_energy_kj_per_mol_atoms": 116.9,
  "lattice": [[-1.814, 3.677, 2.731], [-0.121, -2.975, 3.925], [4.579, 1.378, 1.186]],
  "species": ["Mg", "Mg", "Mg", "C", "Zn"],
  "frac_coords": [[0.000, 0.500, 0.000], [0.000, 0.000, 0.500], [0.500, 0.000, 0.000], [0.500, 0.500, 0.500], [0.000, 0.000, 0.000]]
}

=====

[10]
{
  "formula": "SnAsOs2Se",
  "functional": "PBE-GGA",
  "state": "optimized geometry",
  "raw_formation_energy_ev_per_atom": 2.300,
  "total_energy_ev_per_atom": -4.619,
  "crystal_system": "tetragonal",
  "polymorph_energy_kj_per_mol_atoms": 66.9,
  "lattice": [[-2.811, -2.345, -3.343], [-1.397, -3.389, 3.551], [-3.851, 2.871, 1.225]],
  "species": ["Se", "Os", "Os", "As", "Sn"],
  "frac_coords": [[0.000, 0.500, 0.000], [0.000, 0.000, 0.500], [0.500, 0.000, 0.000], [0.500, 0.500, 0.500], [0.000, 0.000, 0.000]]
}

=====

[11]
{
  "formula": "Cd5Cu3Hg12",
  "functional": "PBE-GGA",
  "state": "optimized geometry",
  "e_form_ev_per_atom": 0.193,
  "total_energy_ev_per_atom": -0.831,
  "crystal_system": "cubic",
  "lattice": [[-13.303, -5.458, -1.284], [8.017, -4.165, -11.259], [6.008, -4.792, 12.220]],
  "species": ["Cu", "Cu", "Cu", "Cu", "Cu", "Cu", "Cu", "Cu", "Cu", "Cu", "Cu", "Cu", "Hg", "Hg", "Hg", "Hg", "Hg", "Hg", "Hg", "Hg", "Hg", "Hg", "Hg", "Hg", "Hg", "Hg", "Hg", "Hg", "Hg", "Hg", "Hg", "Hg", "Hg", "Hg", "Hg", "Hg", "Hg", "Hg", "Hg", "Hg", "Hg", "Hg", "Hg", "Hg", "Hg", "Hg", "Hg", "Hg", "Hg", "Hg", "Hg", "Hg", "Hg", "Hg", "Hg", "Hg", "Hg", "Hg", "Hg", "Hg", "Cd", "Cd", "Cd", "Cd", "Cd", "Cd", "Cd", "Cd", "Cd", "Cd", "Cd", "Cd", "Cd", "Cd", "Cd", "Cd", "Cd", "Cd", "Cd", "Cd"],
  "frac_coords": [[0.375, 0.750, 0.625], [0.750, 0.375, 0.125], [0.250, 0.625, 0.875], [0.625, 0.250, 0.375], [0.750, 0.875, 0.625], [0.125, 0.250, 0.875], [0.125, 0.875, 0.750], [0.875, 0.750, 0.125], [0.625, 0.375, 0.750], [0.375, 0.625, 0.250], [0.875, 0.125, 0.250], [0.250, 0.125, 0.375], [0.131, 0.388, 0.057], [0.331, 0.574, 0.443], [0.388, 0.257, 0.331], [0.926, 0.557, 0.169], [0.074, 0.443, 0.831], [0.631, 0.074, 0.243], [0.112, 0.169, 0.243], [0.426, 0.757, 0.869], [0.074, 0.631, 0.743], [0.612, 0.743, 0.669], [0.943, 0.112, 0.869], [0.612, 0.869, 0.443], [0.131, 0.743, 0.574], [0.869, 0.612, 0.943], [0.888, 0.831, 0.757], [0.574, 0.243, 0.131], [0.369, 0.926, 0.757], [0.169, 0.112, 0.743], [0.443, 0.074, 0.331], [0.757, 0.426, 0.369], [0.443, 0.369, 0.612], [0.057, 0.169, 0.426], [0.869, 0.257, 0.426], [0.631, 0.557, 0.888], [0.743, 0.131, 0.074], [0.574, 0.331, 0.943], [0.557, 0.631, 0.388], [0.888, 0.057, 0.631], [0.243, 0.669, 0.112], [0.557, 0.926, 0.669], [0.943, 0.831, 0.574], [0.743, 0.612, 0.169], [0.831, 0.888, 0.257], [0.169, 0.057, 0.926], [0.388, 0.131, 0.557], [0.243, 0.574, 0.631], [0.831, 0.943, 0.074], [0.669, 0.243, 0.612], [0.369, 0.443, 0.112], [0.112, 0.943, 0.369], [0.757, 0.331, 0.888], [0.257, 0.869, 0.926], [0.669, 0.426, 0.557], [0.057, 0.888, 0.131], [0.257, 0.388, 0.831], [0.926, 0.369, 0.257], [0.331, 0.757, 0.388], [0.426, 0.669, 0.057], [0.000, 0.000, 0.000], [0.125, 0.375, 0.250], [0.250, 0.875, 0.125], [0.750, 0.125, 0.875], [0.625, 0.750, 0.875], [0.000, 0.500, 0.500], [0.000, 0.500, 0.000], [0.500, 0.000, 0.000], [0.000, 0.000, 0.500], [0.375, 0.125, 0.750], [0.125, 0.750, 0.375], [0.625, 0.875, 0.250], [0.750, 0.625, 0.375], [0.875, 0.250, 0.625], [0.375, 0.250, 0.125], [0.500, 0.500, 0.000], [0.500, 0.000, 0.500], [0.250, 0.375, 0.625], [0.875, 0.625, 0.750], [0.500, 0.500, 0.500]]
}